A plane-wave DFT calculation with GGA+U was carried out for an optimized crystal structure of Li7Mn2Co3O12.

Lattice parameters (Å, degrees): 14.7036 14.7036 4.9801 80.54 80.54 11.15
Closest atoms and distances in Å follow each position.
Fractional positions:
Li 0.7447 0.7447 0.2529  6 O 2.05-2.24
O 0.1318 0.1318 0.8612  3 Co 1.93-1.94
Li 0.5019 0.5019 0.5036  6 O 1.99-2.10
Li 0.5827 0.5827 0.0745  6 O 2.01-2.19
Co 0.6663 0.6663 0.6612  6 O 1.93-1.96
O 0.4637 0.4637 0.2001  4 Li 1.94-2.03, 2 Mn 1.97
O 0.0405 0.0405 0.2654  1 Mn 1.86, 5 Li 2.02-2.07
Li 0.2436 0.2436 0.7513  6 O 2.03-2.24
Li 0.9276 0.9276 0.4352  3 O 1.95-2.03
Co 0.3320 0.3320 0.3335  6 O 1.94-1.96
O 0.2941 0.2941 0.0438  1 Co 1.96, 2 Mn 2.00, 2 Li 2.17
O 0.9609 0.9609 0.7423  1 Mn 1.91, 5 Li 1.95-2.10
O 0.8668 0.8668 0.1316  1 Mn 1.93, 2 Co 1.94
Li 0.4227 0.4227 0.9307  3 O 1.94-1.96
O 0.2027 0.2027 0.4586  3 Co 1.96, 3 Li 2.03-2.05
Mn 0.0017 0.0017 0.0041  6 O 1.86-1.97
O 0.6314 0.6314 0.3632  3 Co 1.93-1.94
Co 0.1662 0.1662 0.1615  6 O 1.94-1.96
O 0.7963 0.7963 0.5373  1 Mn 1.95, 2 Co 1.95
O 0.7026 0.7026 0.9590  3 Co 1.96, 3 Li 2.03-2.06
Mn 0.8325 0.8325 0.8325  6 O 1.93-2.00
Li 0.0794 0.0794 0.5667  5 O 2.03-2.21
O 0.3697 0.3697 0.6206  1 Co 1.94, 2 Mn 1.99
O 0.5381 0.5381 0.8091  2 Mn 1.94, 4 Li 1.99-2.12

Results
Total magnetization: 2.92 μB/cell
Calculated density: 4.26 Mg/m³
DFT total energy: -5.82 eV/atom
E above lowest polymorph: 0.076 eV per atom